Record 1
First-principles (PBE) data for a geometry-optimized Li2PuPbAu2 structure, as listed in Alexandria.

The structure in extended XYZ format:
```
6
Lattice="4.662 0.000 0.000 -2.331 4.038 0.000 0.000 0.000 6.661" Properties=species:S:1:pos:R:3 pbc="T T T"
Pb 0.000 0.000 3.331
Au 2.331 1.346 5.052
Au 0.000 2.692 1.609
Li 2.331 1.346 2.149
Li 0.000 2.692 4.512
Pu 0.000 0.000 0.000
```

Calculated formation energy in eV/atom: -0.358


Record 2
First-principles (PBE) data for a geometry-optimized RbB2Ru structure, as listed in Alexandria.

The structure in extended XYZ format:
```
4
Lattice="0.000 3.130 3.130 3.130 0.000 3.130 3.130 3.130 0.000" Properties=species:S:1:pos:R:3 pbc="T T T"
Rb 0.000 0.000 0.000
B 1.565 1.565 1.565
B 4.695 4.695 4.695
Ru 3.130 3.130 3.130
```

Calculated formation energy in eV/atom: 2.240


Record 3
First-principles (PBE) data for a geometry-optimized TeSeCl3 structure, as listed in Alexandria.

The structure in extended XYZ format:
```
5
Lattice="5.366 0.000 0.000 0.000 5.366 0.000 0.000 0.000 5.366" Properties=species:S:1:pos:R:3 pbc="T T T"
Cl 0.000 2.683 0.000
Cl 0.000 0.000 2.683
Cl 2.683 0.000 0.000
Te 0.000 0.000 0.000
Se 2.683 2.683 2.683
```


Number 1: DOS at the Fermi energy 2.8519 states/eV per atom, DFT total energy -5.095 eV/atom. Number 2: DOS at the Fermi energy 0.9018 states/eV per atom, DFT total energy -3.659 eV/atom. Number 3: DOS at the Fermi energy 0.8691 states/eV per atom, DFT total energy -2.270 eV/atom.